MgP2Se: single point on PBEsol structure, meta-GGA SCAN.

a = 3.5100 Å, b = 3.5100 Å, c = 6.1542 Å
α = 90.00°, β = 90.00°, γ = 90.00°
Last column: nearest neighbours and their distance in Å.
Space group P4/mmm (No. 123)
One atom of each set of equivalent atoms:
Mg 0.0000 0.0000 0.0000 (multiplicity 1)  4 Se 2.48
P 0.0000 0.5000 0.5000 (multiplicity 2)  4 P 2.48
Se 0.5000 0.5000 0.0000 (multiplicity 1)  4 Mg 2.48

The calculated total energy comes out at -45.9 eV for the cell shown. For the formation energy without anion corrections, the calculation gives -0.01 eV per atom. The value obtained for the spin magnetization is 0.00 μB/f.u.